(1)
A plane-wave DFT calculation with GGA-PBE was carried out for a relaxed GaHg6H2 crystal. Values from VASP.

Calculated values
theoretical density: 9852 kg/m³
SG: P-1, No. 2
E: -1.098 eV per atom

Geometry as Quantum ESPRESSO input:
```
&SYSTEM
  ibrav = 0, nat = 9, ntyp = 3
/
ATOMIC_SPECIES
Ga 69.72 Ga.upf
Hg 200.59 Hg.upf
H 1.01 H.upf
CELL_PARAMETERS angstrom
3.896 0.000 0.000
1.910 6.631 0.000
1.890 1.293 8.321
ATOMIC_POSITIONS crystal
Ga 0.000 0.000 0.000
Hg 0.087 0.119 0.696
Hg 0.320 0.308 0.056
Hg 0.383 0.534 0.680
Hg 0.617 0.466 0.320
Hg 0.680 0.692 0.944
Hg 0.913 0.881 0.304
H 0.152 0.185 0.492
H 0.848 0.815 0.508
```



(2)
A plane-wave DFT calculation with GGA-PBE was carried out for a relaxed Ga3HgH crystal. Values from VASP.

Calculated values
theoretical density: 7902 kg/m³
SG: Pm-3m, No. 221
E: -2.321 eV per atom

Geometry as Quantum ESPRESSO input:
```
&SYSTEM
  ibrav = 0, nat = 5, ntyp = 3
/
ATOMIC_SPECIES
Ga 69.72 Ga.upf
Hg 200.59 Hg.upf
H 1.01 H.upf
CELL_PARAMETERS angstrom
4.419 0.000 0.000
0.000 4.419 0.000
0.000 0.000 4.419
ATOMIC_POSITIONS crystal
Ga 0.000 0.000 0.500
Ga 0.000 0.500 0.000
Ga 0.500 0.000 0.000
Hg 0.500 0.500 0.500
H 0.000 0.000 0.000
```



(3)
A plane-wave DFT calculation with GGA-PBE was carried out for a relaxed Ga12Hg5H3 crystal. Values from VASP.

Calculated values
theoretical density: 7259 kg/m³
SG: Ia-3d, No. 230
E: -2.207 eV per atom

Geometry as Quantum ESPRESSO input:
```
&SYSTEM
  ibrav = 0, nat = 80, ntyp = 3
/
ATOMIC_SPECIES
Ga 69.72 Ga.upf
Hg 200.59 Hg.upf
H 1.01 H.upf
CELL_PARAMETERS angstrom
-7.498 7.498 7.498
7.498 -7.498 7.498
7.498 7.498 -7.498
ATOMIC_POSITIONS crystal
Ga 0.030 0.630 0.368
Ga 0.030 0.900 0.662
Ga 0.100 0.262 0.130
Ga 0.100 0.338 0.970
Ga 0.130 0.100 0.262
Ga 0.130 0.530 0.868
Ga 0.132 0.762 0.662
Ga 0.132 0.870 0.470
Ga 0.162 0.262 0.632
Ga 0.162 0.400 0.530
Ga 0.238 0.338 0.868
Ga 0.238 0.400 0.370
Ga 0.262 0.130 0.100
Ga 0.262 0.632 0.162
Ga 0.338 0.868 0.238
Ga 0.338 0.970 0.100
Ga 0.368 0.030 0.630
Ga 0.368 0.838 0.738
Ga 0.370 0.238 0.400
Ga 0.370 0.632 0.970
Ga 0.400 0.370 0.238
Ga 0.400 0.530 0.162
Ga 0.470 0.132 0.870
Ga 0.470 0.838 0.600
Ga 0.530 0.162 0.400
Ga 0.530 0.868 0.130
Ga 0.600 0.470 0.838
Ga 0.600 0.630 0.762
Ga 0.630 0.368 0.030
Ga 0.630 0.762 0.600
Ga 0.632 0.162 0.262
Ga 0.632 0.970 0.370
Ga 0.662 0.030 0.900
Ga 0.662 0.132 0.762
Ga 0.738 0.368 0.838
Ga 0.738 0.870 0.900
Ga 0.762 0.600 0.630
Ga 0.762 0.662 0.132
Ga 0.838 0.600 0.470
Ga 0.838 0.738 0.368
Ga 0.868 0.130 0.530
Ga 0.868 0.238 0.338
Ga 0.870 0.470 0.132
Ga 0.870 0.900 0.738
Ga 0.900 0.662 0.030
Ga 0.900 0.738 0.870
Ga 0.970 0.100 0.338
Ga 0.970 0.370 0.632
Hg 0.000 0.000 0.000
Hg 0.000 0.000 0.500
Hg 0.000 0.500 0.000
Hg 0.000 0.500 0.500
Hg 0.125 0.750 0.875
Hg 0.125 0.875 0.250
Hg 0.250 0.125 0.875
Hg 0.250 0.625 0.375
Hg 0.375 0.250 0.625
Hg 0.375 0.625 0.750
Hg 0.500 0.000 0.000
Hg 0.500 0.000 0.500
Hg 0.500 0.500 0.000
Hg 0.500 0.500 0.500
Hg 0.625 0.375 0.250
Hg 0.625 0.750 0.375
Hg 0.750 0.375 0.625
Hg 0.750 0.875 0.125
Hg 0.875 0.125 0.750
Hg 0.875 0.250 0.125
H 0.125 0.250 0.375
H 0.125 0.375 0.750
H 0.250 0.375 0.125
H 0.250 0.875 0.625
H 0.375 0.125 0.250
H 0.375 0.750 0.125
H 0.625 0.250 0.875
H 0.625 0.875 0.750
H 0.750 0.125 0.375
H 0.750 0.625 0.875
H 0.875 0.625 0.250
H 0.875 0.750 0.625
```



(4)
A plane-wave DFT calculation with GGA-PBE was carried out for a relaxed GaHg3H2 crystal. Values from VASP.

Calculated values
theoretical density: 9383 kg/m³
SG: P-1, No. 2
E: -1.523 eV per atom

Geometry as Quantum ESPRESSO input:
```
&SYSTEM
  ibrav = 0, nat = 12, ntyp = 3
/
ATOMIC_SPECIES
Ga 69.72 Ga.upf
Hg 200.59 Hg.upf
H 1.01 H.upf
CELL_PARAMETERS angstrom
5.912 0.000 0.000
-0.223 6.347 0.000
-2.855 -1.399 6.352
ATOMIC_POSITIONS crystal
Ga 0.000 0.243 0.000
Ga 0.000 0.757 0.000
Hg 0.195 0.584 0.386
Hg 0.201 0.088 0.401
Hg 0.497 0.749 0.994
Hg 0.503 0.251 0.006
Hg 0.799 0.912 0.599
Hg 0.805 0.416 0.614
H 0.361 0.666 0.723
H 0.367 0.169 0.734
H 0.633 0.831 0.266
H 0.639 0.334 0.277
```



(5)
A plane-wave DFT calculation with GGA-PBE was carried out for a relaxed Ga12Hg3H5 crystal. Values from VASP.

Calculated values
theoretical density: 6905 kg/m³
SG: Ia-3d, No. 230
E: -2.434 eV per atom

Geometry as Quantum ESPRESSO input:
```
&SYSTEM
  ibrav = 0, nat = 80, ntyp = 3
/
ATOMIC_SPECIES
Ga 69.72 Ga.upf
Hg 200.59 Hg.upf
H 1.01 H.upf
CELL_PARAMETERS angstrom
-7.028 7.028 7.028
7.028 -7.028 7.028
7.028 7.028 -7.028
ATOMIC_POSITIONS crystal
Ga 0.001 0.189 0.092
Ga 0.001 0.312 0.908
Ga 0.092 0.001 0.189
Ga 0.092 0.592 0.404
Ga 0.092 0.592 0.904
Ga 0.092 0.999 0.688
Ga 0.096 0.689 0.688
Ga 0.096 0.908 0.408
Ga 0.188 0.189 0.596
Ga 0.188 0.499 0.592
Ga 0.189 0.092 0.001
Ga 0.189 0.596 0.188
Ga 0.311 0.312 0.904
Ga 0.311 0.499 0.408
Ga 0.312 0.904 0.311
Ga 0.312 0.908 0.001
Ga 0.404 0.092 0.592
Ga 0.404 0.812 0.811
Ga 0.408 0.096 0.908
Ga 0.408 0.311 0.499
Ga 0.408 0.596 0.908
Ga 0.408 0.812 0.501
Ga 0.499 0.408 0.311
Ga 0.499 0.592 0.188
Ga 0.501 0.408 0.812
Ga 0.501 0.592 0.689
Ga 0.592 0.188 0.499
Ga 0.592 0.404 0.092
Ga 0.592 0.689 0.501
Ga 0.592 0.904 0.092
Ga 0.596 0.188 0.189
Ga 0.596 0.908 0.408
Ga 0.688 0.092 0.999
Ga 0.688 0.096 0.689
Ga 0.689 0.501 0.592
Ga 0.689 0.688 0.096
Ga 0.811 0.404 0.812
Ga 0.811 0.908 0.999
Ga 0.812 0.501 0.408
Ga 0.812 0.811 0.404
Ga 0.904 0.092 0.592
Ga 0.904 0.311 0.312
Ga 0.908 0.001 0.312
Ga 0.908 0.408 0.096
Ga 0.908 0.408 0.596
Ga 0.908 0.999 0.811
Ga 0.999 0.688 0.092
Ga 0.999 0.811 0.908
Hg 0.125 0.250 0.375
Hg 0.125 0.375 0.750
Hg 0.250 0.375 0.125
Hg 0.250 0.875 0.625
Hg 0.375 0.125 0.250
Hg 0.375 0.750 0.125
Hg 0.625 0.250 0.875
Hg 0.625 0.875 0.750
Hg 0.750 0.125 0.375
Hg 0.750 0.625 0.875
Hg 0.875 0.625 0.250
Hg 0.875 0.750 0.625
H 0.000 0.000 0.000
H 0.000 0.000 0.500
H 0.000 0.500 0.000
H 0.000 0.500 0.500
H 0.125 0.750 0.875
H 0.125 0.875 0.250
H 0.250 0.125 0.875
H 0.250 0.625 0.375
H 0.375 0.250 0.625
H 0.375 0.625 0.750
H 0.500 0.000 0.000
H 0.500 0.000 0.500
H 0.500 0.500 0.000
H 0.500 0.500 0.500
H 0.625 0.375 0.250
H 0.625 0.750 0.375
H 0.750 0.375 0.625
H 0.750 0.875 0.125
H 0.875 0.125 0.750
H 0.875 0.250 0.125
```



(6)
A plane-wave DFT calculation with GGA-PBE was carried out for a relaxed Ga3Hg12H5 crystal. Values from VASP.

Calculated values
theoretical density: 10620 kg/m³
SG: Ia-3d, No. 230
E: -1.136 eV per atom

Geometry as Quantum ESPRESSO input:
```
&SYSTEM
  ibrav = 0, nat = 80, ntyp = 3
/
ATOMIC_SPECIES
Ga 69.72 Ga.upf
Hg 200.59 Hg.upf
H 1.01 H.upf
CELL_PARAMETERS angstrom
-7.428 7.428 7.428
7.428 -7.428 7.428
7.428 7.428 -7.428
ATOMIC_POSITIONS crystal
Ga 0.125 0.250 0.375
Ga 0.125 0.375 0.750
Ga 0.250 0.375 0.125
Ga 0.250 0.875 0.625
Ga 0.375 0.125 0.250
Ga 0.375 0.750 0.125
Ga 0.625 0.250 0.875
Ga 0.625 0.875 0.750
Ga 0.750 0.125 0.375
Ga 0.750 0.625 0.875
Ga 0.875 0.625 0.250
Ga 0.875 0.750 0.625
Hg 0.020 0.208 0.108
Hg 0.020 0.312 0.913
Hg 0.087 0.608 0.400
Hg 0.087 0.980 0.688
Hg 0.100 0.708 0.688
Hg 0.100 0.892 0.413
Hg 0.108 0.020 0.208
Hg 0.108 0.587 0.900
Hg 0.188 0.208 0.600
Hg 0.188 0.480 0.587
Hg 0.208 0.108 0.020
Hg 0.208 0.600 0.188
Hg 0.292 0.312 0.900
Hg 0.292 0.480 0.392
Hg 0.312 0.900 0.292
Hg 0.312 0.913 0.020
Hg 0.392 0.292 0.480
Hg 0.392 0.600 0.913
Hg 0.400 0.087 0.608
Hg 0.400 0.812 0.792
Hg 0.413 0.100 0.892
Hg 0.413 0.812 0.520
Hg 0.480 0.392 0.292
Hg 0.480 0.587 0.188
Hg 0.520 0.413 0.812
Hg 0.520 0.608 0.708
Hg 0.587 0.188 0.480
Hg 0.587 0.900 0.108
Hg 0.600 0.188 0.208
Hg 0.600 0.913 0.392
Hg 0.608 0.400 0.087
Hg 0.608 0.708 0.520
Hg 0.688 0.087 0.980
Hg 0.688 0.100 0.708
Hg 0.708 0.520 0.608
Hg 0.708 0.688 0.100
Hg 0.792 0.400 0.812
Hg 0.792 0.892 0.980
Hg 0.812 0.520 0.413
Hg 0.812 0.792 0.400
Hg 0.892 0.413 0.100
Hg 0.892 0.980 0.792
Hg 0.900 0.108 0.587
Hg 0.900 0.292 0.312
Hg 0.913 0.020 0.312
Hg 0.913 0.392 0.600
Hg 0.980 0.688 0.087
Hg 0.980 0.792 0.892
H 0.000 0.000 0.000
H 0.000 0.000 0.500
H 0.000 0.500 0.000
H 0.000 0.500 0.500
H 0.125 0.750 0.875
H 0.125 0.875 0.250
H 0.250 0.125 0.875
H 0.250 0.625 0.375
H 0.375 0.250 0.625
H 0.375 0.625 0.750
H 0.500 0.000 0.000
H 0.500 0.000 0.500
H 0.500 0.500 0.000
H 0.500 0.500 0.500
H 0.625 0.375 0.250
H 0.625 0.750 0.375
H 0.750 0.375 0.625
H 0.750 0.875 0.125
H 0.875 0.125 0.750
H 0.875 0.250 0.125
```



(7)
A plane-wave DFT calculation with GGA-PBE was carried out for a relaxed Ga5Hg12H3 crystal. Values from VASP.

Calculated values
theoretical density: 9359 kg/m³
SG: Ia-3d, No. 230
E: -1.156 eV per atom

Geometry as Quantum ESPRESSO input:
```
&SYSTEM
  ibrav = 0, nat = 80, ntyp = 3
/
ATOMIC_SPECIES
Ga 69.72 Ga.upf
Hg 200.59 Hg.upf
H 1.01 H.upf
CELL_PARAMETERS angstrom
-7.881 7.881 7.881
7.881 -7.881 7.881
7.881 7.881 -7.881
ATOMIC_POSITIONS crystal
Ga 0.000 0.000 0.000
Ga 0.000 0.000 0.500
Ga 0.000 0.500 0.000
Ga 0.000 0.500 0.500
Ga 0.125 0.750 0.875
Ga 0.125 0.875 0.250
Ga 0.250 0.125 0.875
Ga 0.250 0.625 0.375
Ga 0.375 0.250 0.625
Ga 0.375 0.625 0.750
Ga 0.500 0.000 0.000
Ga 0.500 0.000 0.500
Ga 0.500 0.500 0.000
Ga 0.500 0.500 0.500
Ga 0.625 0.375 0.250
Ga 0.625 0.750 0.375
Ga 0.750 0.375 0.625
Ga 0.750 0.875 0.125
Ga 0.875 0.125 0.750
Ga 0.875 0.250 0.125
Hg 0.048 0.624 0.376
Hg 0.048 0.924 0.671
Hg 0.076 0.248 0.124
Hg 0.076 0.329 0.952
Hg 0.124 0.076 0.248
Hg 0.124 0.548 0.876
Hg 0.124 0.748 0.671
Hg 0.124 0.876 0.452
Hg 0.171 0.248 0.624
Hg 0.171 0.424 0.548
Hg 0.248 0.124 0.076
Hg 0.248 0.624 0.171
Hg 0.252 0.329 0.876
Hg 0.252 0.424 0.376
Hg 0.329 0.876 0.252
Hg 0.329 0.952 0.076
Hg 0.376 0.048 0.624
Hg 0.376 0.252 0.424
Hg 0.376 0.624 0.952
Hg 0.376 0.829 0.752
Hg 0.424 0.376 0.252
Hg 0.424 0.548 0.171
Hg 0.452 0.124 0.876
Hg 0.452 0.829 0.576
Hg 0.548 0.171 0.424
Hg 0.548 0.876 0.124
Hg 0.576 0.452 0.829
Hg 0.576 0.624 0.748
Hg 0.624 0.171 0.248
Hg 0.624 0.376 0.048
Hg 0.624 0.748 0.576
Hg 0.624 0.952 0.376
Hg 0.671 0.048 0.924
Hg 0.671 0.124 0.748
Hg 0.748 0.576 0.624
Hg 0.748 0.671 0.124
Hg 0.752 0.376 0.829
Hg 0.752 0.876 0.924
Hg 0.829 0.576 0.452
Hg 0.829 0.752 0.376
Hg 0.876 0.124 0.548
Hg 0.876 0.252 0.329
Hg 0.876 0.452 0.124
Hg 0.876 0.924 0.752
Hg 0.924 0.671 0.048
Hg 0.924 0.752 0.876
Hg 0.952 0.076 0.329
Hg 0.952 0.376 0.624
H 0.125 0.250 0.375
H 0.125 0.375 0.750
H 0.250 0.375 0.125
H 0.250 0.875 0.625
H 0.375 0.125 0.250
H 0.375 0.750 0.125
H 0.625 0.250 0.875
H 0.625 0.875 0.750
H 0.750 0.125 0.375
H 0.750 0.625 0.875
H 0.875 0.625 0.250
H 0.875 0.750 0.625
```



(8)
A plane-wave DFT calculation with GGA-PBE was carried out for a relaxed GaHgH3 crystal. Values from VASP.

Calculated values
theoretical density: 7933 kg/m³
SG: Pm-3m, No. 221
E: -2.252 eV per atom

Geometry as Quantum ESPRESSO input:
```
&SYSTEM
  ibrav = 0, nat = 5, ntyp = 3
/
ATOMIC_SPECIES
Ga 69.72 Ga.upf
Hg 200.59 Hg.upf
H 1.01 H.upf
CELL_PARAMETERS angstrom
3.853 0.000 0.000
0.000 3.853 0.000
0.000 0.000 3.853
ATOMIC_POSITIONS crystal
Ga 0.000 0.000 0.000
Hg 0.500 0.500 0.500
H 0.000 0.000 0.500
H 0.000 0.500 0.000
H 0.500 0.000 0.000
```



(9)
A plane-wave DFT calculation with GGA-PBE was carried out for a relaxed InGa2HgH crystal. Values from VASP.

Calculated values
theoretical density: 8006 kg/m³
SG: P4/mmm, No. 123
E: -2.273 eV per atom

Geometry as Quantum ESPRESSO input:
```
&SYSTEM
  ibrav = 0, nat = 5, ntyp = 4
/
ATOMIC_SPECIES
In 114.82 In.upf
Ga 69.72 Ga.upf
Hg 200.59 Hg.upf
H 1.01 H.upf
CELL_PARAMETERS angstrom
4.487 0.000 0.000
0.000 4.487 0.000
0.000 0.000 4.697
ATOMIC_POSITIONS crystal
In 0.000 0.000 0.000
Ga 0.000 0.500 0.500
Ga 0.500 0.000 0.500
Hg 0.500 0.500 0.000
H 0.000 0.000 0.500
```



(10)
A plane-wave DFT calculation with GGA-PBE was carried out for a relaxed LaGaHg2H crystal. Values from VASP.

Calculated values
theoretical density: 9374 kg/m³
SG: P4/mmm, No. 123
E: -2.628 eV per atom

Geometry as Quantum ESPRESSO input:
```
&SYSTEM
  ibrav = 0, nat = 5, ntyp = 4
/
ATOMIC_SPECIES
La 138.91 La.upf
Ga 69.72 Ga.upf
Hg 200.59 Hg.upf
H 1.01 H.upf
CELL_PARAMETERS angstrom
4.930 0.000 0.000
0.000 4.930 0.000
0.000 0.000 4.452
ATOMIC_POSITIONS crystal
La 0.000 0.000 0.000
Ga 0.500 0.500 0.000
Hg 0.000 0.500 0.500
Hg 0.500 0.000 0.500
H 0.000 0.000 0.500
```



(11)
A plane-wave DFT calculation with GGA-PBE was carried out for a relaxed LiGa2HgH crystal. Values from VASP.

Calculated values
theoretical density: 7388 kg/m³
SG: P4/mmm, No. 123
E: -2.337 eV per atom

Geometry as Quantum ESPRESSO input:
```
&SYSTEM
  ibrav = 0, nat = 5, ntyp = 4
/
ATOMIC_SPECIES
Li 6.94 Li.upf
Ga 69.72 Ga.upf
Hg 200.59 Hg.upf
H 1.01 H.upf
CELL_PARAMETERS angstrom
4.345 0.000 0.000
0.000 4.345 0.000
0.000 0.000 4.143
ATOMIC_POSITIONS crystal
Li 0.000 0.000 0.000
Ga 0.000 0.500 0.500
Ga 0.500 0.000 0.500
Hg 0.500 0.500 0.000
H 0.000 0.000 0.500
```



In order of appearance, N(E_F) = 0.210 0.452 0.290 0.210 0.390 0.242 0.358 0.195 0.336 0.322 0.141 states/eV per atom.